[1]
# SrNdPd2, optimized geometry, DFT PBE-GGA
data_SrNdPd2
_cell_length_a 7.327
_cell_length_b 7.327
_cell_length_c 7.327
_cell_angle_alpha 90.00
_cell_angle_beta 90.00
_cell_angle_gamma 90.00
_symmetry_space_group_name_H-M 'F m -3 m'
_symmetry_Int_Tables_number 225
_symmetry_space_group_name_Hall '-F 4 2 3'
loop_
_atom_site_label
_atom_site_fract_x
_atom_site_fract_y
_atom_site_fract_z
Sr1 0.000 0.000 0.000
Nd1 0.000 0.000 0.500
Pd1 0.250 0.250 0.250
# **Energy of formation**: -245 kJ/mol of formula units
# **Spin magnetization**: 0.00 μB/cell
# **E above lowest polymorph**: 0.060 eV/atom

---

[2]
# SrNd2Pd2, optimized geometry, DFT PBE-GGA
data_SrNd2Pd2
_cell_length_a 7.296
_cell_length_b 7.305
_cell_length_c 7.860
_cell_angle_alpha 115.32
_cell_angle_beta 92.46
_cell_angle_gamma 119.50
_symmetry_space_group_name_H-M 'P -1'
_symmetry_Int_Tables_number 2
_symmetry_space_group_name_Hall '-P 1'
loop_
_atom_site_label
_atom_site_fract_x
_atom_site_fract_y
_atom_site_fract_z
Sr1 0.112 0.363 0.249
Nd1 0.248 0.350 0.750
Nd2 0.400 0.004 0.252
Pd1 0.184 0.872 0.530
Pd2 0.344 0.155 0.970
# **Energy of formation**: -245 kJ/mol of formula units
# **Spin magnetization**: 0.00 μB/cell

---

[3]
# SrNdPd, optimized geometry, DFT PBE-GGA
data_SrNdPd
_cell_length_a 7.285
_cell_length_b 7.285
_cell_length_c 7.285
_cell_angle_alpha 90.00
_cell_angle_beta 90.00
_cell_angle_gamma 90.00
_symmetry_space_group_name_H-M 'F -4 3 m'
_symmetry_Int_Tables_number 216
_symmetry_space_group_name_Hall 'F -4 2 3'
loop_
_atom_site_label
_atom_site_fract_x
_atom_site_fract_y
_atom_site_fract_z
Sr1 0.000 0.000 0.000
Nd1 0.000 0.000 0.500
Pd1 0.250 0.250 0.750
# **Energy of formation**: -95 kJ/mol of formula units
# **Spin magnetization**: 0.00 μB/cell
# **E above lowest polymorph**: 0.089 eV/atom

---

[4]
# SrNd2Pd, optimized geometry, DFT PBE-GGA
data_SrNd2Pd
_cell_length_a 3.706
_cell_length_b 3.706
_cell_length_c 9.878
_cell_angle_alpha 90.00
_cell_angle_beta 90.00
_cell_angle_gamma 90.00
_symmetry_space_group_name_H-M 'P 4/m m m'
_symmetry_Int_Tables_number 123
_symmetry_space_group_name_Hall '-P 4 2'
loop_
_atom_site_label
_atom_site_fract_x
_atom_site_fract_y
_atom_site_fract_z
Sr1 0.000 0.000 0.000
Nd1 0.500 0.500 0.330
Pd1 0.000 0.000 0.500
# **Energy of formation**: -103 kJ/mol of formula units
# **Spin magnetization**: 0.00 μB/cell
# **E above lowest polymorph**: 0.000 eV/atom